No. 1
# Cu3AsAu

Cu3AsAu at its PBEsol-relaxed geometry (SCAN, the Alexandria database).

abc: 4.398 4.398 4.398
angles: 90.00 90.00 90.00
Fractional positions:
As1 0.000 0.000 0.000
Cu1 0.000 0.000 0.500
Cu2 0.000 0.500 0.000
Cu3 0.500 0.000 0.000
Au1 0.500 0.500 0.500

Output
SG: No. 221
Energy relative to the elements: 0.4234 eV per atom
Raw total energy: -26.57 eV/atom
Total moment: 0.00 μB/f.u.

---

No. 2
# CuAs2Au

CuAs2Au at its PBEsol-relaxed geometry (SCAN, the Alexandria database).

abc: 2.776 2.776 8.598
angles: 90.00 90.00 93.33
Fractional positions:
Cu1 0.500 0.500 0.000
Au1 0.500 0.500 0.500
As1 0.000 0.000 0.218
As2 0.000 0.000 0.782

Output
SG: No. 65
Energy relative to the elements: 0.2442 eV per atom
Raw total energy: -30.94 eV/atom
Total moment: 0.00 μB/f.u.

---

No. 3
# Eu2AsAu

Eu2AsAu at its PBEsol-relaxed geometry (SCAN, the Alexandria database).

abc: 5.152 5.152 5.152
angles: 60.00 60.00 60.00
Each line ends with the local moment (μB).
Fractional positions:
As1 0.500 0.500 0.500  -0.15
Au1 0.000 0.000 0.000  -0.04
Eu1 0.750 0.750 0.750  6.87
Eu2 0.250 0.250 0.250  6.87

Output
SG: No. 225
Energy relative to the elements: -1.1854 eV per atom
Raw total energy: -50.38 eV/atom
Total moment: 14.00 μB/f.u.

---

No. 4
# SbAsAuF9

SbAsAuF9 at its PBEsol-relaxed geometry (SCAN, the Alexandria database).

abc: 8.008 9.116 10.919
angles: 90.00 97.16 90.00
Fractional positions:
F1 0.054 0.305 0.987
F2 0.902 0.537 0.695
F3 0.887 0.116 0.568
F4 0.290 0.012 0.636
F5 0.639 0.253 0.262
F6 0.361 0.747 0.738
F7 0.710 0.988 0.364
F8 0.221 0.732 0.218
F9 0.308 0.117 0.963
F10 0.598 0.037 0.805
F11 0.387 0.384 0.068
F12 0.613 0.616 0.932
F13 0.083 0.970 0.125
F14 0.192 0.617 0.537
F15 0.402 0.963 0.195
F16 0.279 0.232 0.282
F17 0.210 0.512 0.864
F18 0.955 0.182 0.335
F19 0.721 0.768 0.718
F20 0.446 0.805 0.513
F21 0.455 0.318 0.835
F22 0.098 0.463 0.305
F23 0.045 0.818 0.665
F24 0.790 0.488 0.136
F25 0.417 0.470 0.375
F26 0.113 0.884 0.432
F27 0.946 0.695 0.013
F28 0.139 0.247 0.762
F29 0.554 0.195 0.487
F30 0.861 0.753 0.238
F31 0.917 0.030 0.875
F32 0.583 0.530 0.625
F33 0.779 0.268 0.782
F34 0.692 0.883 0.037
F35 0.545 0.682 0.165
F36 0.808 0.383 0.463
Au1 0.301 0.785 0.918
Au2 0.199 0.285 0.582
Au3 0.801 0.715 0.418
Au4 0.699 0.215 0.082
Sb1 0.739 0.683 0.080
Sb2 0.761 0.183 0.420
Sb3 0.261 0.317 0.920
Sb4 0.239 0.817 0.580
As1 0.752 0.640 0.609
As2 0.248 0.360 0.391
As3 0.748 0.140 0.891
As4 0.252 0.860 0.109

Output
SG: No. 14
Energy relative to the elements, uncorrected: -2.039 eV per atom
Raw total energy: -15.24 eV/atom
Total moment: 0.00 μB/f.u.

---

No. 5
# Fe3AsAu

Fe3AsAu at its PBEsol-relaxed geometry (SCAN, the Alexandria database).

abc: 4.645 4.645 4.645
angles: 90.00 90.00 90.00
Each line ends with the local moment (μB).
Fractional positions:
Fe1 0.000 0.000 0.500  3.32
Fe2 0.500 0.000 0.000  3.32
Fe3 0.000 0.500 0.000  3.32
As1 0.500 0.500 0.500  -0.05
Au1 0.000 0.000 0.000  0.15

Output
SG: No. 221
Energy relative to the elements: 1.1124 eV per atom
Raw total energy: -27.63 eV/atom
Total moment: 10.05 μB/f.u.

---

No. 6
# FeSnAs2Au

FeSnAs2Au at its PBEsol-relaxed geometry (SCAN, the Alexandria database).

abc: 4.407 4.407 5.075
angles: 90.00 90.00 90.00
Each line ends with the local moment (μB).
Fractional positions:
As1 0.000 0.500 0.000  0.03
As2 0.500 0.000 0.000  0.03
Sn1 0.000 0.000 0.500  0.04
Au1 0.500 0.500 0.500  -0.01
Fe1 0.000 0.000 0.000  1.73

Output
SG: No. 123
Energy relative to the elements: 0.3940 eV per atom
Raw total energy: -32.32 eV/atom
Total moment: 1.97 μB/f.u.

---

No. 7
# GaAs2AuSe

GaAs2AuSe at its PBEsol-relaxed geometry (SCAN, the Alexandria database).

abc: 4.949 4.949 5.205
angles: 90.00 90.00 90.00
Each line ends with the local moment (μB).
Fractional positions:
As1 0.500 0.000 0.000  0.24
As2 0.000 0.500 0.000  0.24
Ga1 0.500 0.500 0.500  0.01
Se1 0.000 0.000 0.500  0.05
Au1 0.000 0.000 0.000  0.03

Output
SG: No. 123
Energy relative to the elements, uncorrected: 0.693 eV per atom
Raw total energy: -28.50 eV/atom
Total moment: 1.08 μB/f.u.

---

No. 8
# Hf2AsPbAu

Hf2AsPbAu at its PBEsol-relaxed geometry (SCAN, the Alexandria database).

abc: 4.739 4.976 4.976
angles: 90.00 90.00 90.00
Fractional positions:
Hf1 0.000 0.500 0.000
Hf2 0.000 0.000 0.500
Pb1 0.500 0.500 0.500
Au1 0.500 0.000 0.000
As1 0.000 0.000 0.000

Output
SG: No. 123
Energy relative to the elements: 0.1548 eV per atom
Raw total energy: -57.94 eV/atom
Total moment: 0.00 μB/f.u.